First-principles (SCAN) data for a PBEsol-optimized structure of CsCo3Ir, as listed in Alexandria.

Summary:
- volume (Å³ per atom) = 21.01
- calculated formation energy (eV/f.u.) = 5.21

Unit cell a=4.719 b=4.719 c=4.719 alpha=90.00 beta=90.00 gamma=90.00
Space group Pm-3m (No. 221)
Symmetry-distinct sites (fractional):
Cs (0.000, 0.000, 0.000) [1 per cell]
Co (0.000, 0.500, 0.500) [3 per cell]
Ir (0.500, 0.500, 0.500) [1 per cell]

***

First-principles (SCAN) data for a PBEsol-optimized structure of PrIr2, as listed in Alexandria.

Summary:
- volume (Å³ per atom) = 18.44
- calculated formation energy (eV/f.u.) = -2.43

Unit cell a=7.621 b=7.621 c=7.621 alpha=90.00 beta=90.00 gamma=90.00
Space group Fd-3m (No. 227, origin choice 2)
Symmetry-distinct sites (fractional):
Pr (0.125, 0.125, 0.125) [8 per cell]
Ir (0.000, 0.000, 0.500) [16 per cell]

***

First-principles (SCAN) data for a PBEsol-optimized structure of As2PdCSe, as listed in Alexandria.

Summary:
- volume (Å³ per atom) = 15.54
- formation energy (no corrections) (eV/atom) = 1.07

Unit cell a=4.232 b=4.232 c=4.338 alpha=90.00 beta=90.00 gamma=90.00
Space group P4/mmm (No. 123)
Symmetry-distinct sites (fractional):
As (0.000, 0.500, 0.000) [2 per cell]
Pd (0.000, 0.000, 0.500) [1 per cell]
C (0.500, 0.500, 0.000) [1 per cell]
Se (0.500, 0.500, 0.500) [1 per cell]